1.
This record from Alexandria via LeMat-Bulk describes CeHf2Sc after structural relaxation. The functional is PBE.

Lattice parameters (Å, degrees): 3.2207 3.2207 32.0069 90.00 90.00 120.00
Sites, in units of the cell vectors:
1 Ce 0.0000 0.0000 0.0000
2 Ce 0.3333 0.6667 0.6667
3 Ce 0.6667 0.3333 0.3333
4 Hf 0.0000 0.0000 0.2481
5 Hf 0.0000 0.0000 0.7519
6 Hf 0.3333 0.6667 0.4186
7 Hf 0.3333 0.6667 0.9148
8 Hf 0.6667 0.3333 0.0852
9 Hf 0.6667 0.3333 0.5814
10 Sc 0.0000 0.0000 0.5000
11 Sc 0.3333 0.6667 0.1667
12 Sc 0.6667 0.3333 0.8333

Values from the calculation:
The symmetry is R-3m, No. 166. Its energy relative to the lowest polymorph listed for this composition is 28 meV per atom. The total magnetic moment comes out at 0.01 μB per cell.

***

2.
This record from Alexandria via LeMat-Bulk describes Ce3HfSc6 after structural relaxation. The functional is PBE.

Lattice parameters (Å, degrees): 10.6703 10.6703 5.9256 90.00 90.00 131.27
Sites, in units of the cell vectors:
1 Ce 0.0716 0.9284 0.5000
2 Ce 0.2161 0.4668 0.9060
3 Ce 0.4668 0.2161 0.4060
4 Ce 0.5332 0.7839 0.9060
5 Ce 0.7839 0.5332 0.4060
6 Ce 0.9284 0.0716 0.0000
7 Hf 0.3375 0.6625 0.4244
8 Hf 0.6625 0.3375 0.9244
9 Sc 0.0471 0.6024 0.7341
10 Sc 0.1185 0.2576 0.4616
11 Sc 0.1962 0.8038 0.2073
12 Sc 0.2576 0.1185 0.9616
13 Sc 0.3976 0.9529 0.7341
14 Sc 0.4869 0.5131 0.2262
15 Sc 0.5131 0.4869 0.7262
16 Sc 0.6024 0.0471 0.2341
17 Sc 0.7424 0.8815 0.4616
18 Sc 0.8038 0.1962 0.7073
19 Sc 0.8815 0.7424 0.9616
20 Sc 0.9529 0.3976 0.2341

Values from the calculation:
For the total energy, the calculation gives -6.4122 eV/atom. The symmetry is Cmc2_1, No. 36. The total magnetic moment comes out at 1.84 μB per cell.

***

3.
This record from Alexandria via LeMat-Bulk describes CeHfSc3 after structural relaxation. The functional is PBE.

Lattice parameters (Å, degrees): 7.8975 3.1950 10.3373 90.00 108.39 90.00
Sites, in units of the cell vectors:
1 Ce 0.1867 0.2500 0.0255
2 Ce 0.8133 0.7500 0.9745
3 Hf 0.1802 0.2500 0.5619
4 Hf 0.8198 0.7500 0.4381
5 Sc 0.0078 0.2500 0.2607
6 Sc 0.3877 0.7500 0.3641
7 Sc 0.4057 0.7500 0.8345
8 Sc 0.5943 0.2500 0.1655
9 Sc 0.6123 0.2500 0.6359
10 Sc 0.9922 0.7500 0.7393

Values from the calculation:
The symmetry is P2_1/m, No. 11. Its energy relative to the lowest polymorph listed for this composition is 8 meV per atom. The total magnetic moment comes out at 0.62 μB per cell.

***

4.
This record from Alexandria via LeMat-Bulk describes CeHf3Sc7 after structural relaxation. The functional is PBE.

Lattice parameters (Å, degrees): 6.4169 6.4169 7.7634 90.00 90.00 120.00
Sites, in units of the cell vectors:
1 Ce 0.0000 0.0000 0.0000
2 Hf 0.1653 0.3306 0.6590
3 Hf 0.1653 0.8347 0.6590
4 Hf 0.6694 0.8347 0.6590
5 Sc 0.0007 0.5004 0.9817
6 Sc 0.3302 0.1651 0.3360
7 Sc 0.3333 0.6667 0.3306
8 Sc 0.4996 0.5004 0.9817
9 Sc 0.4996 0.9993 0.9817
10 Sc 0.8349 0.1651 0.3360
11 Sc 0.8349 0.6698 0.3360

Values from the calculation:
For the total energy, the calculation gives -7.0054 eV/atom. The symmetry is P3m1, No. 156. The total magnetic moment comes out at 0.00 μB per cell.

***

5.
This record from Alexandria via LeMat-Bulk describes CeHf2Sc8 after structural relaxation. The functional is PBE.

Lattice parameters (Å, degrees): 6.0520 5.0384 9.4603 90.00 106.45 90.00
Sites, in units of the cell vectors:
1 Ce 0.0000 0.0000 0.0000
2 Hf 0.2379 0.5000 0.2072
3 Hf 0.7621 0.5000 0.7928
4 Sc 0.0735 0.0000 0.3498
5 Sc 0.2809 0.5000 0.5537
6 Sc 0.2805 0.5000 0.8805
7 Sc 0.4837 0.0000 0.7615
8 Sc 0.5163 0.0000 0.2385
9 Sc 0.7195 0.5000 0.1195
10 Sc 0.7191 0.5000 0.4463
11 Sc 0.9265 0.0000 0.6502

Values from the calculation:
For the total energy, the calculation gives -6.7839 eV/atom. The symmetry is P2/m, No. 10. The total magnetic moment comes out at 0.00 μB per cell.

***

6.
This record from Alexandria via LeMat-Bulk describes CeHf2Sc after structural relaxation. The functional is PBE.

Lattice parameters (Å, degrees): 3.8130 3.8130 6.5641 90.00 90.00 90.00
Sites, in units of the cell vectors:
1 Ce 0.0000 0.0000 0.0000
2 Hf 0.5000 0.5000 0.2368
3 Hf 0.5000 0.5000 0.7632
4 Sc 0.0000 0.0000 0.5000

Values from the calculation:
The symmetry is P4/mmm, No. 123. Its energy relative to the lowest polymorph listed for this composition is 138 meV per atom. The total magnetic moment comes out at 0.00 μB per cell.

***

What is the formula in the first record? CeHf2Sc

***

Repeat the fourth record exactly.
This record from Alexandria via LeMat-Bulk describes CeHf3Sc7 after structural relaxation. The functional is PBE.

Lattice parameters (Å, degrees): 6.4169 6.4169 7.7634 90.00 90.00 120.00
Sites, in units of the cell vectors:
1 Ce 0.0000 0.0000 0.0000
2 Hf 0.1653 0.3306 0.6590
3 Hf 0.1653 0.8347 0.6590
4 Hf 0.6694 0.8347 0.6590
5 Sc 0.0007 0.5004 0.9817
6 Sc 0.3302 0.1651 0.3360
7 Sc 0.3333 0.6667 0.3306
8 Sc 0.4996 0.5004 0.9817
9 Sc 0.4996 0.9993 0.9817
10 Sc 0.8349 0.1651 0.3360
11 Sc 0.8349 0.6698 0.3360

Values from the calculation:
For the total energy, the calculation gives -7.0054 eV/atom. The symmetry is P3m1, No. 156. The total magnetic moment comes out at 0.00 μB per cell.

***

Copy entry 5 word for word.
This record from Alexandria via LeMat-Bulk describes CeHf2Sc8 after structural relaxation. The functional is PBE.

Lattice parameters (Å, degrees): 6.0520 5.0384 9.4603 90.00 106.45 90.00
Sites, in units of the cell vectors:
1 Ce 0.0000 0.0000 0.0000
2 Hf 0.2379 0.5000 0.2072
3 Hf 0.7621 0.5000 0.7928
4 Sc 0.0735 0.0000 0.3498
5 Sc 0.2809 0.5000 0.5537
6 Sc 0.2805 0.5000 0.8805
7 Sc 0.4837 0.0000 0.7615
8 Sc 0.5163 0.0000 0.2385
9 Sc 0.7195 0.5000 0.1195
10 Sc 0.7191 0.5000 0.4463
11 Sc 0.9265 0.0000 0.6502

Values from the calculation:
For the total energy, the calculation gives -6.7839 eV/atom. The symmetry is P2/m, No. 10. The total magnetic moment comes out at 0.00 μB per cell.